# Hf2SnTe

Crystalline Hf2SnTe at its relaxed geometry (GGA-PBE, the Alexandria database).

extended XYZ file:
```
16
Lattice="6.960 0.000 -0.013 0.000 7.261 0.000 -0.014 0.000 7.677" Properties=species:S:1:pos:R:3 pbc="T T T"
Hf 6.922 1.357 6.674
Hf 3.503 4.987 0.983
Hf 6.895 1.355 2.870
Hf 3.531 4.986 4.787
Hf 0.051 5.906 4.794
Hf 3.415 2.275 2.877
Hf 3.443 2.274 6.681
Hf 0.023 5.904 0.989
Te 1.355 3.103 4.800
Te 2.111 6.733 2.870
Te 4.835 0.528 4.794
Te 5.591 4.158 2.863
Sn 5.612 4.152 6.737
Sn 4.814 0.521 0.921
Sn 2.132 6.740 6.743
Sn 1.334 3.109 0.927
```

Results
ΔE_f (raw) = -0.36 eV/atom
SG = P2_1/c, No. 14
Total moment = 0.000 μB/f.u.

---

# NiAsP2

Crystalline NiAsP2 at its relaxed geometry (GGA-PBE, the Alexandria database).

extended XYZ file:
```
4
Lattice="4.329 0.000 0.000 2.164 3.749 0.000 2.164 1.250 3.534" Properties=species:S:1:pos:R:3 pbc="T T T"
P 0.000 0.000 0.000
P 2.164 1.250 0.884
Ni 6.493 3.749 2.651
As 4.329 2.499 1.767
```

Results
SG = F-43m, No. 216
Energy of formation from the pure elements = 477 meV/atom
Total moment = 0.000 μB/f.u.